No. 1
This record from Alexandria describes an optimized crystal structure of HfScBr2. The functional is GGA-PBE.

Output
The excess energy over the best structure of this formula in the dataset is 379.9 meV/atom. The calculation puts the uncorrected formation energy at -0.18 eV per atom. The density of states at the Fermi level comes out at 0.956 states/eV per atom.

Unit cell a=4.8383 b=4.8383 c=4.8383 alpha=60.00 beta=60.00 gamma=60.00
With the nearest neighbours (Å) after each atom.
Atoms (fractional coordinates):
Br (0.2500, 0.2500, 0.2500)  4 Hf 2.96, 4 Sc 2.96
Hf (0.5000, 0.5000, 0.5000)  8 Br 2.96
Br (0.7500, 0.7500, 0.7500)  4 Hf 2.96, 4 Sc 2.96
Sc (0.0000, 0.0000, 0.0000)  8 Br 2.96

---

No. 2
This record from Alexandria describes an optimized crystal structure of HfScBr2. The functional is GGA-PBE.

Output
The excess energy over the best structure of this formula in the dataset is 678.2 meV/atom. The calculation puts the uncorrected formation energy at 0.12 eV per atom. The density of states at the Fermi level comes out at 1.300 states/eV per atom.

Unit cell a=6.4855 b=6.4855 c=6.9893 alpha=62.36 beta=62.36 gamma=90.00
With the nearest neighbours (Å) after each atom.
Atoms (fractional coordinates):
Sc (0.2500, 0.7500, 0.5000)  4 Br 2.63
Sc (0.5000, 0.5000, 0.0000)  4 Br 2.63
Hf (0.7500, 0.2500, 0.5000)  4 Br 2.66
Hf (0.0000, 0.0000, 0.0000)  4 Br 2.66
Br (0.1298, 0.6250, 0.2500)  2 Sc 2.63, 2 Hf 2.66
Br (0.8750, 0.8702, 0.7500)  2 Sc 2.63, 2 Hf 2.66
Br (0.3750, 0.3798, 0.7500)  2 Sc 2.63, 2 Hf 2.66
Br (0.6202, 0.1250, 0.2500)  2 Sc 2.63, 2 Hf 2.66

---

No. 3
This record from Alexandria describes an optimized crystal structure of HfScSe2Br. The functional is GGA-PBE.

Output
The excess energy over the best structure of this formula in the dataset is 0.0 meV/atom. The calculation puts the uncorrected formation energy at -0.57 eV per atom. The density of states at the Fermi level comes out at 1.284 states/eV per atom.

Unit cell a=5.1779 b=5.1779 c=5.1538 alpha=90.00 beta=90.00 gamma=90.00
With the nearest neighbours (Å) after each atom.
Atoms (fractional coordinates):
Se (0.0000, 0.5000, 0.0000)  2 Hf 2.59
Sc (0.5000, 0.5000, 0.5000)  8 Se 3.65, 4 Br 3.66
Br (0.0000, 0.0000, 0.5000)  2 Hf 2.58
Hf (0.0000, 0.0000, 0.0000)  2 Br 2.58, 4 Se 2.59
Se (0.5000, 0.0000, 0.0000)  2 Hf 2.59

---

No. 4
This record from Alexandria describes an optimized crystal structure of HfScSe2Br. The functional is GGA-PBE.

Output
The excess energy over the best structure of this formula in the dataset is 265.5 meV/atom. The calculation puts the uncorrected formation energy at -0.31 eV per atom. The density of states at the Fermi level comes out at 0.932 states/eV per atom.

Unit cell a=5.1581 b=5.1581 c=4.9902 alpha=90.00 beta=90.00 gamma=90.00
With the nearest neighbours (Å) after each atom.
Atoms (fractional coordinates):
Se (0.5000, 0.0000, 0.0000)  2 Sc 2.58
Br (0.0000, 0.0000, 0.5000)  2 Sc 2.50
Sc (0.0000, 0.0000, 0.0000)  2 Br 2.50, 4 Se 2.58
Se (0.0000, 0.5000, 0.0000)  2 Sc 2.58
Hf (0.5000, 0.5000, 0.5000)  8 Se 3.59, 4 Br 3.65

---

No. 5
This record from Alexandria describes an optimized crystal structure of HfScSeBr2. The functional is GGA-PBE.

Output
The excess energy over the best structure of this formula in the dataset is 0.0 meV/atom. The calculation puts the uncorrected formation energy at -0.40 eV per atom. The density of states at the Fermi level comes out at 1.194 states/eV per atom.

Unit cell a=5.1962 b=5.1962 c=5.2339 alpha=90.00 beta=90.00 gamma=90.00
With the nearest neighbours (Å) after each atom.
Atoms (fractional coordinates):
Sc (0.5000, 0.5000, 0.5000)  4 Se 3.67, 8 Br 3.69
Br (0.0000, 0.5000, 0.0000)  2 Hf 2.60
Se (0.0000, 0.0000, 0.5000)  2 Hf 2.62
Hf (0.0000, 0.0000, 0.0000)  4 Br 2.60, 2 Se 2.62
Br (0.5000, 0.0000, 0.0000)  2 Hf 2.60

---

No. 6
This record from Alexandria describes an optimized crystal structure of HfScSeBr2. The functional is GGA-PBE.

Output
The excess energy over the best structure of this formula in the dataset is 157.1 meV/atom. The calculation puts the uncorrected formation energy at -0.24 eV per atom. The density of states at the Fermi level comes out at 1.063 states/eV per atom.

Unit cell a=5.1338 b=5.1338 c=5.2868 alpha=90.00 beta=90.00 gamma=90.00
With the nearest neighbours (Å) after each atom.
Atoms (fractional coordinates):
Hf (0.5000, 0.5000, 0.5000)  4 Se 3.63, 8 Br 3.68
Br (0.0000, 0.5000, 0.0000)  2 Sc 2.57
Br (0.5000, 0.0000, 0.0000)  2 Sc 2.57
Se (0.0000, 0.0000, 0.5000)  2 Sc 2.64
Sc (0.0000, 0.0000, 0.0000)  4 Br 2.57, 2 Se 2.64

---

- Which formula does entry 1 have?
  HfScBr2